1.
First-principles (PBE-GGA) data for a geometry-optimized Ba2Ca structure, as listed in Alexandria.

The space group is P-62m (No. 189) and the conventional cell measures 11.7674, 11.7674 and 4.2177 Å, with angles of 90.00, 90.00 and 120.00 degrees. The asymmetric unit holds Ba at (0.0000, 0.3063, 0.0000), Ba at (0.0000, 0.6412, 0.5000), Ca at (0.0000, 0.0000, 0.5000) and Ca at (0.3333, 0.6667, 0.0000).

The value obtained for the density is 3.1 Mg/m³. The calculation puts the offset from the most stable computed form at 21 meV/atom. The total energy comes out at -1.8981 eV/atom. For the total moment, the calculation gives 0.000 μB/atom.

---

2.
First-principles (PBE-GGA) data for a geometry-optimized BaCa3 structure, as listed in Alexandria.

The space group is I4/mmm (No. 139) and the conventional cell measures 6.398, 6.398 and 9.030 Å, with angles of 90.00, 90.00 and 90.00 degrees. The asymmetric unit holds Ba at (0.000, 0.000, 0.000), Ca at (0.000, 0.000, 0.500) and Ca at (0.000, 0.500, 0.250).

The value obtained for the density is 2.3 Mg/m³. The total energy comes out at -1.9557 eV/atom. For the total moment, the calculation gives 0.000 μB/atom.

---

3.
First-principles (PBE-GGA) data for a geometry-optimized Ba3Ca structure, as listed in Alexandria.

The space group is Fm-3m (No. 225) and the conventional cell measures 9.719, 9.719 and 9.719 Å, with angles of 90.00, 90.00 and 90.00 degrees. The asymmetric unit holds Ba at (0.000, 0.000, 0.000), Ba at (0.250, 0.250, 0.250) and Ca at (0.000, 0.000, 0.500).

The value obtained for the density is 3.3 Mg/m³. The calculation puts the offset from the most stable computed form at 7 meV/atom. The total energy comes out at -1.9123 eV/atom. For the total moment, the calculation gives 0.000 μB/atom.

---

4.
First-principles (PBE-GGA) data for a geometry-optimized BaCa3 structure, as listed in Alexandria.

The space group is R-3m (No. 166, hexagonal axes) and the conventional cell measures 4.0323, 4.0323 and 39.4110 Å, with angles of 90.00, 90.00 and 120.00 degrees. The asymmetric unit holds Ba at (0.0000, 0.0000, 0.0000), Ca at (0.0000, 0.0000, 0.2458) and Ca at (0.0000, 0.0000, 0.5000).

The value obtained for the density is 2.3 Mg/m³. The total energy comes out at -1.9379 eV/atom. For the total moment, the calculation gives 0.000 μB/atom.

---

5.
First-principles (PBE-GGA) data for a geometry-optimized BaCa5 structure, as listed in Alexandria.

The space group is Cmmm (No. 65) and the conventional cell measures 5.689, 16.771 and 5.705 Å, with angles of 90.00, 90.00 and 90.00 degrees. The asymmetric unit holds Ba at (0.000, 0.000, 0.000), Ca at (0.000, 0.171, 0.500), Ca at (0.000, 0.328, 0.000) and Ca at (0.000, 0.500, 0.500).

The value obtained for the density is 2.1 Mg/m³. The calculation puts the offset from the most stable computed form at 1 meV/atom. The total energy comes out at -1.9658 eV/atom. For the total moment, the calculation gives 0.000 μB/atom.

---

6.
First-principles (PBE-GGA) data for a geometry-optimized Ba2Ca7 structure, as listed in Alexandria.

The space group is P-31m (No. 162) and the conventional cell measures 6.9827, 6.9827 and 9.8304 Å, with angles of 90.00, 90.00 and 120.00 degrees. The asymmetric unit holds Ba at (0.3333, 0.6667, 0.0000), Ca at (0.0000, 0.0000, 0.0000) and Ca at (0.0000, 0.3280, 0.6586).

The value obtained for the density is 2.2 Mg/m³. The calculation puts the offset from the most stable computed form at 0 meV/atom. The total energy comes out at -1.9506 eV/atom. For the total moment, the calculation gives 0.000 μB/atom.

---

7.
First-principles (PBE-GGA) data for a geometry-optimized Ba2Ca structure, as listed in Alexandria.

The space group is P6_3/mmc (No. 194) and the conventional cell measures 6.8864, 6.8864 and 8.2403 Å, with angles of 90.00, 90.00 and 120.00 degrees. The asymmetric unit holds Ba at (0.0000, 0.0000, 0.0000), Ba at (0.3333, 0.6667, 0.2500) and Ca at (0.3333, 0.6667, 0.7500).

The value obtained for the density is 3.1 Mg/m³. The calculation puts the offset from the most stable computed form at 25 meV/atom. The total energy comes out at -1.8946 eV/atom. For the total moment, the calculation gives 0.000 μB/atom.

---

8.
First-principles (PBE-GGA) data for a geometry-optimized Ba3Ca structure, as listed in Alexandria.

The space group is R-3m (No. 166, hexagonal axes) and the conventional cell measures 4.3363, 4.3363 and 42.6491 Å, with angles of 90.00, 90.00 and 120.00 degrees. The asymmetric unit holds Ba at (0.0000, 0.0000, 0.0000), Ba at (0.0000, 0.0000, 0.2452) and Ca at (0.0000, 0.0000, 0.5000).

The value obtained for the density is 3.2 Mg/m³. The calculation puts the offset from the most stable computed form at 27 meV/atom. The total energy comes out at -1.8922 eV/atom. For the total moment, the calculation gives 0.000 μB/atom.

---

Number 1: ΔH_f (0 K) 0.051 eV per atom. Number 2: ΔH_f (0 K) 0.026 eV per atom. Number 3: ΔH_f (0 K) 0.030 eV per atom. Number 4: ΔH_f (0 K) 0.044 eV per atom. Number 5: ΔH_f (0 K) 0.023 eV per atom. Number 6: ΔH_f (0 K) 0.033 eV per atom. Number 7: ΔH_f (0 K) 0.054 eV per atom. Number 8: ΔH_f (0 K) 0.050 eV per atom.